Record 1
Compound: TePtSe4
Source: OQMD
Functional: PBE
Structure: relaxed

Summary:
Space-group type ... No. 2
M_tot ... 0.0 μB/f.u.
Raw total energy ... -4.010 eV per atom
Crystal system ... triclinic

Unit cell a=6.609 b=7.687 c=7.687 alpha=60.18 beta=70.90 gamma=88.31
Fractional positions:
Se (0.244, 0.161, 0.492)
Se (0.756, 0.839, 0.008)
Se (0.269, 0.599, 0.516)
Pt (0.500, 0.500, 0.750)
Pt (0.500, 0.500, 0.250)
Se (0.756, 0.839, 0.508)
Se (0.731, 0.401, 0.484)
Se (0.244, 0.161, 0.992)
Se (0.269, 0.599, 0.016)
Se (0.731, 0.401, 0.984)
Te (0.500, 0.000, 0.250)
Te (0.500, 0.000, 0.750)



Record 2
Compound: Tl2PtSe3
Source: OQMD
Functional: PBE
Structure: relaxed

Summary:
Space-group type ... No. 2
M_tot ... 0.0 μB/f.u.
Raw total energy ... -3.695 eV per atom
Crystal system ... triclinic

Unit cell a=6.494 b=7.204 c=8.428 alpha=87.49 beta=68.28 gamma=67.44
Fractional positions:
Tl (0.276, 0.301, 0.095)
Se (0.207, 0.532, 0.502)
Pt (0.421, 0.443, 0.700)
Tl (0.083, 0.068, 0.681)
Se (0.793, 0.468, 0.498)
Tl (0.724, 0.699, 0.905)
Se (0.210, 0.740, 0.908)
Pt (0.579, 0.557, 0.300)
Se (0.438, 0.921, 0.312)
Se (0.562, 0.079, 0.688)
Tl (0.917, 0.932, 0.319)
Se (0.790, 0.260, 0.092)



Record 3
Compound: Tl2Pt3Se2
Source: OQMD
Functional: PBE
Structure: relaxed

Summary:
Space-group type ... No. 166
M_tot ... 0.0 μB/f.u.
Raw total energy ... -4.483 eV per atom
Crystal system ... trigonal

Unit cell a=6.120 b=6.120 c=6.120 alpha=57.53 beta=57.53 gamma=57.53
Fractional positions:
Pt (0.500, 0.000, 0.500)
Tl (0.000, 0.000, 0.000)
Tl (0.500, 0.500, 0.500)
Pt (0.000, 0.500, 0.500)
Pt (0.500, 0.500, 0.000)
Se (0.215, 0.215, 0.215)
Se (0.785, 0.785, 0.785)



Record 4
Compound: Tl2Pt3Se4
Source: OQMD
Functional: PBE
Structure: relaxed

Summary:
Space-group type ... No. 69
M_tot ... 0.0 μB/f.u.
Raw total energy ... -4.433 eV per atom
Crystal system ... orthorhombic

Unit cell a=8.479 b=7.036 c=6.595 alpha=76.85 beta=53.91 gamma=49.24
Fractional positions:
Tl (0.367, 0.367, 0.633)
Tl (0.633, 0.633, 0.367)
Pt (0.500, 0.500, 0.000)
Se (0.294, 0.965, 0.035)
Se (0.706, 0.035, 0.965)
Pt (0.000, 0.000, 0.000)
Pt (0.000, 0.000, 0.500)
Se (0.965, 0.294, 0.706)
Se (0.035, 0.706, 0.294)



Record 5
Compound: Y2PtSe4
Source: OQMD
Functional: PBE
Structure: relaxed

Summary:
Space-group type ... No. 227
M_tot ... 0.6 μB/f.u.
Raw total energy ... -5.858 eV per atom
Crystal system ... cubic

Unit cell a=8.122 b=8.122 c=8.122 alpha=60.00 beta=60.00 gamma=60.00
Fractional positions:
Se (0.622, 0.126, 0.126)
Se (0.126, 0.622, 0.126)
Y (0.375, 0.875, 0.375)
Y (0.375, 0.375, 0.875)
Se (0.624, 0.624, 0.128)
Y (0.875, 0.375, 0.375)
Se (0.126, 0.126, 0.622)
Y (0.375, 0.375, 0.375)
Se (0.624, 0.128, 0.624)
Se (0.128, 0.624, 0.624)
Se (0.624, 0.624, 0.624)
Pt (0.750, 0.750, 0.750)
Se (0.126, 0.126, 0.126)
Pt (0.000, 0.000, 0.000)



Record 6
Compound: SiPt
Source: OQMD
Functional: PBE
Structure: relaxed

Summary:
Space-group type ... No. 187
M_tot ... 0.0 μB/f.u.
Raw total energy ... -6.145 eV per atom
Crystal system ... hexagonal

Unit cell a=3.473 b=3.473 c=3.028 alpha=90.00 beta=90.00 gamma=120.00
Fractional positions:
Pt (0.667, 0.333, 0.750)
Si (0.333, 0.667, 0.250)



Record 7
Compound: Si5Pt6
Source: OQMD
Functional: PBE
Structure: relaxed

Summary:
Space-group type ... No. 11
M_tot ... 0.0 μB/f.u.
Raw total energy ... -6.454 eV per atom
Crystal system ... monoclinic

Unit cell a=15.589 b=3.545 c=6.239 alpha=90.00 beta=86.48 gamma=90.00
Fractional positions:
Si (0.427, 0.750, 0.778)
Si (0.665, 0.750, 0.769)
Si (0.881, 0.250, 0.946)
Pt (0.448, 0.750, 0.148)
Pt (0.423, 0.250, 0.528)
Si (0.936, 0.750, 0.435)
Pt (0.281, 0.750, 0.992)
Pt (0.552, 0.250, 0.852)
Si (0.335, 0.250, 0.231)
Pt (0.178, 0.250, 0.280)
Si (0.280, 0.250, 0.686)
Pt (0.822, 0.750, 0.720)
Pt (0.174, 0.750, 0.657)
Pt (0.719, 0.250, 0.008)
Si (0.573, 0.250, 0.222)
Pt (0.826, 0.250, 0.343)
Si (0.064, 0.250, 0.565)
Pt (0.577, 0.750, 0.472)
Si (0.720, 0.750, 0.314)
Pt (0.999, 0.750, 0.803)
Si (0.119, 0.750, 0.054)
Pt (0.001, 0.250, 0.197)



Record 8
Compound: SmSiPt
Source: OQMD
Functional: PBE
Structure: relaxed

Summary:
Space-group type ... No. 216
M_tot ... 0.0 μB/f.u.
Raw total energy ... -6.000 eV per atom
Crystal system ... cubic

Unit cell a=4.516 b=4.516 c=4.516 alpha=60.00 beta=60.00 gamma=60.00
Fractional positions:
Sm (0.750, 0.750, 0.750)
Pt (0.250, 0.250, 0.250)
Si (0.000, 0.000, 0.000)



Record 9
Compound: SmSiPt
Source: OQMD
Functional: PBE
Structure: relaxed

Summary:
Space-group type ... No. 109
M_tot ... 0.0 μB/f.u.
Raw total energy ... -6.552 eV per atom
Crystal system ... tetragonal

Unit cell a=7.789 b=7.789 c=7.789 alpha=148.88 beta=148.88 gamma=44.59
Fractional positions:
Pt (0.665, 0.165, 0.500)
Sm (0.252, 0.752, 0.500)
Si (0.083, 0.083, 0.000)
Sm (0.502, 0.502, 0.000)
Si (0.833, 0.333, 0.500)
Pt (0.915, 0.915, 0.000)



Record 10
Compound: SmSiPt
Source: OQMD
Functional: PBE
Structure: relaxed

Summary:
Space-group type ... No. 216
M_tot ... 0.0 μB/f.u.
Raw total energy ... -5.465 eV per atom
Crystal system ... cubic

Unit cell a=4.710 b=4.710 c=4.710 alpha=60.00 beta=60.00 gamma=60.00
Fractional positions:
Sm (0.000, 0.000, 0.000)
Si (0.750, 0.750, 0.750)
Pt (0.250, 0.250, 0.250)



Record 11
Compound: SiSnPt5
Source: OQMD
Functional: PBE
Structure: relaxed

Summary:
Space-group type ... No. 123
M_tot ... 0.0 μB/f.u.
Raw total energy ... -6.219 eV per atom
Crystal system ... tetragonal

Unit cell a=4.015 b=4.015 c=7.101 alpha=90.00 beta=90.00 gamma=90.00
Fractional positions:
Pt (0.000, 0.500, 0.704)
Pt (0.000, 0.000, 0.000)
Sn (0.500, 0.500, 0.000)
Si (0.000, 0.000, 0.500)
Pt (0.000, 0.500, 0.296)
Pt (0.500, 0.000, 0.296)
Pt (0.500, 0.000, 0.704)



Record 12
Compound: SiSnPt
Source: OQMD
Functional: PBE
Structure: relaxed

Summary:
Space-group type ... No. 216
M_tot ... 0.0 μB/f.u.
Raw total energy ... -5.468 eV per atom
Crystal system ... cubic

Unit cell a=4.397 b=4.397 c=4.397 alpha=60.00 beta=60.00 gamma=60.00
Fractional positions:
Si (0.250, 0.250, 0.250)
Sn (0.750, 0.750, 0.750)
Pt (0.000, 0.000, 0.000)